Compound: TlAg2As
Source: Alexandria via LeMat-Bulk
Functional: PBE-GGA
Structure: relaxed

```
data_TlAg2As
_chemical_formula_sum 'Tl1 Ag2 As1'
_symmetry_space_group_name_H-M 'P 1'
_symmetry_Int_Tables_number 1
_cell_length_a 5.2827
_cell_length_b 5.2827
_cell_length_c 5.2827
_cell_angle_alpha 130.51
_cell_angle_beta 130.51
_cell_angle_gamma 72.60
loop_
_symmetry_equiv_pos_as_xyz
'x,y,z'
loop_
_atom_site_label
_atom_site_type_symbol
_atom_site_fract_x
_atom_site_fract_y
_atom_site_fract_z
_atom_site_occupancy
Tl1 Tl 0.7500 0.2500 0.5000 1
Ag1 Ag 0.5000 0.5000 0.0000 1
Ag2 Ag 0.0000 0.0000 0.0000 1
As1 As 0.2500 0.7500 0.5000 1
```

Results
E = -2.979 eV/atom
M_tot = 0.0 Bohr magnetons per cell
space group = I4/mmm
formation energy = 77 kJ/mol of formula units